The following is a GGA-PBEsol calculation of an optimized crystal structure of Ba2VO4, from Alexandria via LeMat-Bulk.

Computed properties:
Density of states at the Fermi level in states/eV/cell: 15.97
Formation energy (no corrections) in eV/atom: -2.6983

a b c (Å): 6.061 7.661 11.590
angles (deg): 90.00 117.32 90.00
Element x y z (fractional)
Ba1 0.027 0.003 0.303
Ba2 0.027 0.497 0.803
Ba3 0.312 0.654 0.573
Ba4 0.312 0.846 0.073
Ba5 0.688 0.154 0.927
Ba6 0.688 0.346 0.427
Ba7 0.973 0.503 0.197
Ba8 0.973 0.997 0.697
V1 0.341 0.218 0.582
V2 0.341 0.282 0.082
V3 0.659 0.718 0.918
V4 0.659 0.782 0.418
O1 0.148 0.176 0.139
O2 0.148 0.324 0.639
O3 0.240 0.175 0.927
O4 0.240 0.325 0.427
O5 0.287 0.508 0.077
O6 0.287 0.992 0.577
O7 0.337 0.736 0.330
O8 0.337 0.764 0.830
O9 0.663 0.236 0.170
O10 0.663 0.264 0.670
O11 0.713 0.008 0.423
O12 0.713 0.492 0.923
O13 0.760 0.675 0.573
O14 0.760 0.825 0.073
O15 0.852 0.676 0.361
O16 0.852 0.824 0.861